! Sr2Tl3MoO6 (GGA+U, relaxed); values from VASP
&SYSTEM
  ibrav = 0, nat = 12, ntyp = 4
/
ATOMIC_SPECIES
O 16.00 O.upf
Mo 95.94 Mo.upf
Tl 204.38 Tl.upf
Sr 87.62 Sr.upf
ATOMIC_POSITIONS crystal
O 0.929 0.661 0.841
O 0.661 0.929 0.841
O 0.190 0.190 0.830
O 0.339 0.071 0.159
O 0.810 0.810 0.170
O 0.071 0.339 0.159
Mo 0.000 0.000 0.000
Tl 0.500 0.500 0.500
Tl 0.843 0.157 0.500
Tl 0.157 0.843 0.500
Sr 0.334 0.666 0.000
Sr 0.666 0.334 0.000
CELL_PARAMETERS angstrom
-0.285 -3.178 5.182
5.450 1.566 -2.209
-2.452 6.494 2.265
! * DOS at the Fermi energy: 2.2 states/eV/f.u.
! * E: -5.59 eV per atom
! * density: 7.4 g cm⁻³